Entry from Alexandria: an optimized crystal structure of Cr2Au2F (PBE with a Hubbard U).

- excess energy over the best structure of this formula in the dataset (meV/atom) = 0
- space-group type = P4/mbm
- DOS at the Fermi energy (states/eV per cell) = 0.8

extended XYZ file:
```
10
Lattice="7.460 0.000 0.000 0.000 7.460 0.000 0.000 0.000 3.369" Properties=species:S:1:pos:R:3 pbc="T T T"
Cr 1.238 4.968 1.685
Cr 4.968 6.222 1.685
Cr 6.222 2.492 1.685
Cr 2.492 1.238 1.685
Au 2.731 6.462 0.000
Au 6.462 4.729 0.000
Au 4.729 0.999 0.000
Au 0.999 2.731 0.000
F 0.000 0.000 0.000
F 3.730 3.730 0.000
```